DFT (PBE) results for an optimized crystal structure of LiCuNiHg.

a = 4.305 Å, b = 4.305 Å, c = 4.305 Å
α = 60.00°, β = 60.00°, γ = 60.00°
Element x y z (fractional)
Li1 0.000 0.000 0.000
Cu1 0.250 0.250 0.250
Ni1 0.500 0.500 0.500
Hg1 0.750 0.750 0.750

Properties
Formation enthalpy at 0 K = -0.015 eV per atom
DOS at the Fermi energy = 0.820 states/eV/atom
Calculated total energy = -3.04 eV per atom
SG = F-43m, No. 216